## HoLu3B (PBE-GGA)

Data for an optimized crystal structure of HoLu3B.

Cell and atoms, written as POSCAR:
```
HoLu3B
1.0
5.049 0.000 0.000
0.000 5.049 0.000
0.000 0.000 5.049
Ho Lu B
1 3 1
Direct
0.000 0.000 0.000
0.000 0.500 0.500
0.500 0.000 0.500
0.500 0.500 0.000
0.500 0.500 0.500
```

Values from the calculation:
Uncorrected energy: -4.9276 eV per atom
Formation enthalpy at 0 K: 0.2 eV per formula unit
Space-group type: No. 221
Fermi-level density of states: 1.113 states/eV per atom
Spin magnetization: 0.022 μB/f.u.